(1)
DFT (PBE) results for an optimized crystal structure of Ni3Ir4Os.

calculated formation energy: 0.4 eV/f.u.

abc: 4.5805 4.5805 7.5860
angles: 114.65 114.65 48.71
Element x y z (fractional)
Ni 0.0000 0.0000 0.0000
Ni 0.4980 0.4980 0.2560
Ni 0.5020 0.5020 0.7440
Ir 0.2469 0.2469 0.3713
Ir 0.2524 0.2524 0.8785
Ir 0.7476 0.7476 0.1215
Ir 0.7531 0.7531 0.6287
Os 0.0000 0.0000 0.5000

=====

(2)
DFT (PBE) results for an optimized crystal structure of Cd2HgMo.

calculated formation energy: 2.2 eV/f.u.

abc: 5.4910 5.4910 5.4910
angles: 135.46 135.46 64.81
Element x y z (fractional)
Cd 0.2500 0.7500 0.5000
Cd 0.7500 0.2500 0.5000
Hg 0.0000 0.0000 0.0000
Mo 0.5000 0.5000 0.0000

=====

(3)
DFT (PBE) results for an optimized crystal structure of BaLi3Os.

polymorph energy (0 for the lowest one): 1238 meV per atom
calculated formation energy: 9.3 eV/f.u.

abc: 4.7030 4.7030 4.7030
angles: 90.00 90.00 90.00
Element x y z (fractional)
Ba 0.0000 0.0000 0.0000
Li 0.0000 0.0000 0.5000
Li 0.0000 0.5000 0.0000
Li 0.5000 0.0000 0.0000
Os 0.5000 0.5000 0.5000

=====

(4)
DFT (PBE) results for an optimized crystal structure of YTlMo2.

polymorph energy (0 for the lowest one): 638 meV per atom
calculated formation energy: 3.1 eV/f.u.

abc: 4.8441 4.8441 4.8441
angles: 60.00 60.00 60.00
Element x y z (fractional)
Y 0.0000 0.0000 0.0000
Tl 0.5000 0.5000 0.5000
Mo 0.2500 0.2500 0.2500
Mo 0.7500 0.7500 0.7500

=====

(5)
DFT (PBE) results for an optimized crystal structure of Cs3PS3.

uncorrected formation energy: -0.689 eV per atom

abc: 9.9713 6.9107 9.9717
angles: 90.00 119.77 90.00
Element x y z (fractional)
Cs 0.1110 0.2500 0.3062
Cs 0.3049 0.7500 0.1110
Cs 0.3070 0.7500 0.6942
Cs 0.6930 0.2500 0.3058
Cs 0.6951 0.2500 0.8890
Cs 0.8890 0.7500 0.6938
P 0.1671 0.2500 0.8329
P 0.8329 0.7500 0.1671
S 0.0762 0.7500 0.2890
S 0.2878 0.2500 0.0762
S 0.2897 0.2500 0.7114
S 0.7103 0.7500 0.2886
S 0.7122 0.7500 0.9238
S 0.9238 0.2500 0.7110

=====

(6)
DFT (PBE) results for an optimized crystal structure of LiCa2AgHg6.

calculated formation energy: -2.5 eV/f.u.

abc: 6.1729 6.4437 7.1039
angles: 77.74 81.07 71.35
Element x y z (fractional)
Li 0.0000 0.0000 0.0000
Ca 0.1697 0.3506 0.2673
Ca 0.8303 0.6494 0.7327
Ag 0.5000 0.5000 0.5000
Hg 0.1164 0.8432 0.3595
Hg 0.3016 0.6382 0.8694
Hg 0.3852 0.1173 0.7730
Hg 0.6148 0.8827 0.2270
Hg 0.6984 0.3618 0.1306
Hg 0.8836 0.1568 0.6405

=====

(7)
DFT (PBE) results for an optimized crystal structure of Er4Tl5H2.

total DFT energy (no corrections): -38.90 eV per cell

abc: 9.7452 9.7452 8.7184
angles: 114.76 114.76 21.19
Element x y z (fractional)
Er 0.0028 0.0028 0.1962
Er 0.3416 0.3416 0.8343
Er 0.6584 0.6584 0.1657
Er 0.9972 0.9972 0.8038
Tl 0.1711 0.1711 0.8554
Tl 0.1733 0.1733 0.5009
Tl 0.5000 0.5000 0.5000
Tl 0.8267 0.8267 0.4991
Tl 0.8289 0.8289 0.1446
H 0.4485 0.4485 0.8267
H 0.5515 0.5515 0.1733

=====

(8)
DFT (PBE) results for an optimized crystal structure of FePtSe2.

polymorph energy (0 for the lowest one): 129 meV per atom
uncorrected formation energy: -0.052 eV per atom

abc: 3.5437 3.5437 7.8576
angles: 105.50 105.50 49.51
Element x y z (fractional)
Fe 0.0000 0.0000 0.0000
Pt 0.5000 0.5000 0.5000
Se 0.3673 0.3673 0.1809
Se 0.6327 0.6327 0.8191

=====

(9)
DFT (PBE) results for an optimized crystal structure of AlRh.

calculated formation energy: -1.6 eV/f.u.

abc: 10.6927 10.6927 10.6927
angles: 158.08 158.08 31.19
Element x y z (fractional)
Al 0.0000 0.0000 0.0000
Al 0.1499 0.1499 0.0000
Al 0.2500 0.7500 0.5000
Al 0.5000 0.5000 0.0000
Al 0.7500 0.2500 0.5000
Al 0.8501 0.8501 0.0000
Rh 0.0760 0.5760 0.5000
Rh 0.3237 0.3237 0.0000
Rh 0.4240 0.9240 0.5000
Rh 0.5760 0.0760 0.5000
Rh 0.6763 0.6763 0.0000
Rh 0.9240 0.4240 0.5000

=====

(10)
DFT (PBE) results for an optimized crystal structure of CoAuBr3.

uncorrected formation energy: 0.657 eV per atom

abc: 5.3018 5.3018 5.3018
angles: 90.00 90.00 90.00
Element x y z (fractional)
Co 0.0000 0.0000 0.0000
Au 0.5000 0.5000 0.5000
Br 0.0000 0.5000 0.5000
Br 0.5000 0.0000 0.5000
Br 0.5000 0.5000 0.0000

=====

(11)
DFT (PBE) results for an optimized crystal structure of NpCoP2Ru.

calculated formation energy: -3.6 eV/f.u.

abc: 5.6647 5.6647 5.6647
angles: 140.28 140.28 57.42
Element x y z (fractional)
Np 0.0000 0.0000 0.0000
Co 0.2500 0.7500 0.5000
P 0.3801 0.3801 0.0000
P 0.6199 0.6199 0.0000
Ru 0.7500 0.2500 0.5000

=====

(12)
DFT (PBE) results for an optimized crystal structure of K2LiFe.

polymorph energy (0 for the lowest one): 225 meV per atom
calculated formation energy: 3.6 eV/f.u.

abc: 6.5817 3.2577 6.8948
angles: 90.00 112.29 90.00
Element x y z (fractional)
K 0.0000 0.0000 0.0000
K 0.5000 0.5000 0.5000
Li 0.0000 0.0000 0.5000
Fe 0.5000 0.5000 0.0000

=====

(13)
DFT (PBE) results for an optimized crystal structure of CoHg2I.

polymorph energy (0 for the lowest one): 341 meV per atom
uncorrected formation energy: 0.868 eV per atom

abc: 5.3588 5.3588 5.3588
angles: 60.00 60.00 60.00
Element x y z (fractional)
Co 0.0000 0.0000 0.0000
Hg 0.2500 0.2500 0.2500
Hg 0.7500 0.7500 0.7500
I 0.5000 0.5000 0.5000

=====

(14)
DFT (PBE) results for an optimized crystal structure of FeHg2Sb.

uncorrected formation energy: 0.491 eV per atom

abc: 4.7365 4.7365 4.1788
angles: 90.00 90.00 108.70
Element x y z (fractional)
Fe 0.0000 0.0000 0.0000
Hg 0.0000 0.5000 0.5000
Hg 0.5000 0.0000 0.5000
Sb 0.5000 0.5000 0.0000

=====

(15)
DFT (PBE) results for an optimized crystal structure of Y12Ho5Hg3.

calculated formation energy: 16.0 eV/f.u.

abc: 15.8622 15.8622 15.8622
angles: 109.47 109.47 109.47
Element x y z (fractional)
Y 0.0659 0.6438 0.4116
Y 0.0659 0.9221 0.6543
Y 0.0779 0.2322 0.1438
Y 0.0779 0.3457 0.9341
Y 0.0884 0.7322 0.6543
Y 0.0884 0.8562 0.4341
Y 0.1438 0.0779 0.2322
Y 0.1438 0.5659 0.9116
Y 0.1543 0.2322 0.5884
Y 0.1543 0.4221 0.5659
Y 0.2322 0.1438 0.0779
Y 0.2322 0.5884 0.1543
Y 0.2678 0.3457 0.9116
Y 0.2678 0.4221 0.3562
Y 0.3457 0.9116 0.2678
Y 0.3457 0.9341 0.0779
Y 0.3562 0.2678 0.4221
Y 0.3562 0.5884 0.9341
Y 0.4116 0.0659 0.6438
Y 0.4116 0.8457 0.7678
Y 0.4221 0.3562 0.2678
Y 0.4221 0.5659 0.1543
Y 0.4341 0.0884 0.8562
Y 0.4341 0.8457 0.5779
Y 0.5659 0.1543 0.4221
Y 0.5659 0.9116 0.1438
Y 0.5779 0.4341 0.8457
Y 0.5779 0.6438 0.7322
Y 0.5884 0.1543 0.2322
Y 0.5884 0.9341 0.3562
Y 0.6438 0.4116 0.0659
Y 0.6438 0.7322 0.5779
Y 0.6543 0.0659 0.9221
Y 0.6543 0.0884 0.7322
Y 0.7322 0.5779 0.6438
Y 0.7322 0.6543 0.0884
Y 0.7678 0.4116 0.8457
Y 0.7678 0.8562 0.9221
Y 0.8457 0.5779 0.4341
Y 0.8457 0.7678 0.4116
Y 0.8562 0.4341 0.0884
Y 0.8562 0.9221 0.7678
Y 0.9116 0.1438 0.5659
Y 0.9116 0.2678 0.3457
Y 0.9221 0.6543 0.0659
Y 0.9221 0.7678 0.8562
Y 0.9341 0.0779 0.3457
Y 0.9341 0.3562 0.5884
Ho 0.0000 0.0000 0.0000
Ho 0.0000 0.0000 0.5000
Ho 0.0000 0.5000 0.0000
Ho 0.0000 0.5000 0.5000
Ho 0.1250 0.7500 0.8750
Ho 0.1250 0.8750 0.2500
Ho 0.2500 0.1250 0.8750
Ho 0.2500 0.6250 0.3750
Ho 0.3750 0.2500 0.6250
Ho 0.3750 0.6250 0.7500
Ho 0.5000 0.0000 0.0000
Ho 0.5000 0.0000 0.5000
Ho 0.5000 0.5000 0.0000
Ho 0.5000 0.5000 0.5000
Ho 0.6250 0.3750 0.2500
Ho 0.6250 0.7500 0.3750
Ho 0.7500 0.3750 0.6250
Ho 0.7500 0.8750 0.1250
Ho 0.8750 0.1250 0.7500
Ho 0.8750 0.2500 0.1250
Hg 0.1250 0.2500 0.3750
Hg 0.1250 0.3750 0.7500
Hg 0.2500 0.3750 0.1250
Hg 0.2500 0.8750 0.6250
Hg 0.3750 0.1250 0.2500
Hg 0.3750 0.7500 0.1250
Hg 0.6250 0.2500 0.8750
Hg 0.6250 0.8750 0.7500
Hg 0.7500 0.1250 0.3750
Hg 0.7500 0.6250 0.8750
Hg 0.8750 0.6250 0.2500
Hg 0.8750 0.7500 0.6250

=====

(16)
DFT (PBE) results for an optimized crystal structure of PmSnP2.

polymorph energy (0 for the lowest one): 0 meV per atom
calculated formation energy: -2.4 eV/f.u.

abc: 7.1879 7.1879 7.1879
angles: 32.49 32.49 32.49
Element x y z (fractional)
Pm 0.0000 0.0000 0.0000
Sn 0.5000 0.5000 0.5000
P 0.2479 0.2479 0.2479
P 0.7521 0.7521 0.7521

=====

(17)
DFT (PBE) results for an optimized crystal structure of Ac3CeGe5.

calculated formation energy: -4.8 eV/f.u.

abc: 9.4739 9.4739 6.3959
angles: 90.00 90.00 120.00
Element x y z (fractional)
Ac 0.0000 0.3843 0.2500
Ac 0.0000 0.6157 0.7500
Ac 0.3843 0.0000 0.2500
Ac 0.3843 0.3843 0.7500
Ac 0.6157 0.0000 0.7500
Ac 0.6157 0.6157 0.2500
Ce 0.0000 0.0000 0.0000
Ce 0.0000 0.0000 0.5000
Ge 0.0000 0.2732 0.7500
Ge 0.0000 0.7268 0.2500
Ge 0.2732 0.0000 0.7500
Ge 0.2732 0.2732 0.2500
Ge 0.3333 0.6667 0.0000
Ge 0.3333 0.6667 0.5000
Ge 0.6667 0.3333 0.0000
Ge 0.6667 0.3333 0.5000
Ge 0.7268 0.0000 0.2500
Ge 0.7268 0.7268 0.7500

=====

(18)
DFT (PBE) results for an optimized crystal structure of ZrTi2Pd8.

calculated formation energy: -7.0 eV/f.u.

abc: 7.3810 7.3810 6.4779
angles: 107.97 107.97 31.50
Element x y z (fractional)
Zr 0.0000 0.0000 0.0000
Ti 0.2804 0.2804 0.3379
Ti 0.7196 0.7196 0.6621
Pd 0.1055 0.1055 0.4599
Pd 0.1809 0.1809 0.9151
Pd 0.3525 0.3525 0.7964
Pd 0.4582 0.4582 0.2742
Pd 0.5418 0.5418 0.7258
Pd 0.6475 0.6475 0.2036
Pd 0.8191 0.8191 0.0849
Pd 0.8945 0.8945 0.5401

=====

(19)
DFT (PBE) results for an optimized crystal structure of RbNa2Ga2Bi2.

calculated formation energy: -1.5 eV/f.u.

abc: 10.4236 10.4236 10.4236
angles: 28.47 28.47 28.47
Element x y z (fractional)
Rb 0.0000 0.0000 0.0000
Na 0.1390 0.1390 0.1390
Na 0.8610 0.8610 0.8610
Ga 0.4530 0.4530 0.4530
Ga 0.5470 0.5470 0.5470
Bi 0.2451 0.2451 0.2451
Bi 0.7549 0.7549 0.7549

=====

(20)
DFT (PBE) results for an optimized crystal structure of LiCuSN2.

polymorph energy (0 for the lowest one): 646 meV per atom
uncorrected formation energy: 1.794 eV per atom

abc: 3.5113 3.5113 4.7036
angles: 90.00 90.00 90.00
Element x y z (fractional)
Li 0.0000 0.0000 0.0000
Cu 0.0000 0.0000 0.5000
S 0.5000 0.5000 0.5000
N 0.0000 0.5000 0.0000
N 0.5000 0.0000 0.0000

=====

Number 1: calculated volume 13.291 A^3/atom, ρ 17.7 g/cm³. Number 2: calculated volume 20.074 A^3/atom, ρ 10.8 g/cm³. Number 3: calculated volume 20.804 A^3/atom, ρ 5.6 g/cm³. Number 4: calculated volume 20.094 A^3/atom, ρ 10.0 g/cm³. Number 5: calculated volume 42.605 A^3/atom, ρ 2.9 g/cm³. Number 6: calculated volume 26.046 A^3/atom, ρ 8.9 g/cm³. Number 7: calculated volume 24.617 A^3/atom, ρ 10.4 g/cm³. Number 8: calculated volume 17.930 A^3/atom, ρ 9.5 g/cm³. Number 9: calculated volume 14.186 A^3/atom, ρ 7.6 g/cm³. Number 10: calculated volume 29.806 A^3/atom, ρ 5.5 g/cm³. Number 11: calculated volume 14.716 A^3/atom, ρ 10.4 g/cm³. Number 12: calculated volume 34.198 A^3/atom, ρ 1.7 g/cm³. Number 13: calculated volume 27.203 A^3/atom, ρ 9.0 g/cm³. Number 14: calculated volume 22.199 A^3/atom, ρ 10.8 g/cm³. Number 15: calculated volume 38.404 A^3/atom, ρ 5.4 g/cm³. Number 16: calculated volume 23.817 A^3/atom, ρ 5.7 g/cm³. Number 17: calculated volume 27.619 A^3/atom, ρ 7.9 g/cm³. Number 18: calculated volume 15.878 A^3/atom, ρ 9.9 g/cm³. Number 19: calculated volume 32.501 A^3/atom, ρ 5.0 g/cm³. Number 20: calculated volume 11.598 A^3/atom, ρ 3.7 g/cm³.